Th2Be3ZnNi12 | PBE-GGA | relaxed

```
18
Lattice="3.665 2.116 5.588 -3.665 2.116 5.588 0.000 -4.231 5.588" Properties=species:S:1:pos:R:3 pbc="T T T"
Th 0.000 0.000 1.868
Th 0.000 0.000 14.895
Be -1.832 -1.058 5.588
Be -1.832 1.058 11.176
Be 0.000 2.116 5.588
Zn 0.000 0.000 8.382
Ni -1.918 -1.107 7.674
Ni 0.000 -1.906 5.025
Ni -1.650 0.953 5.025
Ni 0.000 -2.214 9.089
Ni -1.918 1.107 9.089
Ni -1.650 -0.953 11.739
Ni 1.650 0.953 5.025
Ni 1.918 -1.107 7.674
Ni 0.000 2.214 7.674
Ni 1.650 -0.953 11.739
Ni 0.000 1.906 11.739
Ni 1.918 1.107 9.089
```

Summary:
Its total magnetization is 0.00 μB/f.u. The value obtained for the uncorrected energy is -5.2708 eV per atom. The symmetry is R-3m.